No. 1
VASP calculation (PBE) on a relaxed structure of SmErGaCo.

Cell: 4.956 4.956 4.956 Å, 60.00 60.00 60.00°
Sites, in units of the cell vectors:
Co (0.250, 0.250, 0.250)
Ga (0.750, 0.750, 0.750)
Sm (0.000, 0.000, 0.000)
Er (0.500, 0.500, 0.500)

E_form (meV/atom): -290.0
Crystal system: cubic
Size of the total moment (Bohr magnetons per cell): 1.066
Offset from the most stable computed form (meV/atom): 67


No. 2
VASP calculation (PBE) on a relaxed structure of PmSi2HgPt5.

Cell: 4.073 4.073 11.071 Å, 90.00 90.00 90.00°
Sites, in units of the cell vectors:
Pm (0.000, 0.000, 0.500)
Si (0.500, 0.500, 0.288)
Si (0.500, 0.500, 0.712)
Hg (0.000, 0.000, 0.000)
Pt (0.000, 0.500, 0.182)
Pt (0.500, 0.000, 0.182)
Pt (0.000, 0.500, 0.818)
Pt (0.500, 0.000, 0.818)
Pt (0.500, 0.500, 0.500)

Uncorrected formation energy (eV/atom): -0.594
Crystal system: tetragonal
Size of the total moment (Bohr magnetons per cell): 0.000


No. 3
VASP calculation (PBE) on a relaxed structure of SrTaTe2N.

Cell: 5.984 5.984 4.229 Å, 90.00 90.00 90.00°
Sites, in units of the cell vectors:
Sr (0.000, 0.000, 0.000)
N (0.000, 0.000, 0.500)
Te (0.000, 0.500, 0.000)
Te (0.500, 0.000, 0.000)
Ta (0.500, 0.500, 0.500)

Uncorrected formation energy (eV/atom): 1.528
Crystal system: tetragonal
Size of the total moment (Bohr magnetons per cell): 3.301
Offset from the most stable computed form (meV/atom): 2165


No. 4
VASP calculation (PBE) on a relaxed structure of BaPaTl2Cl8.

Cell: 6.038 7.893 9.372 Å, 90.00 90.00 104.70°
Sites, in units of the cell vectors:
Ba (0.000, 0.000, 0.500)
Pa (0.000, 0.000, 0.000)
Tl (0.500, 0.500, 0.744)
Tl (0.500, 0.500, 0.256)
Cl (0.061, 0.789, 0.215)
Cl (0.580, 0.803, 0.000)
Cl (0.939, 0.211, 0.215)
Cl (0.939, 0.211, 0.785)
Cl (0.420, 0.197, 0.000)
Cl (0.061, 0.789, 0.785)
Cl (0.517, 0.758, 0.500)
Cl (0.483, 0.242, 0.500)

Uncorrected formation energy (eV/atom): -1.749
Crystal system: monoclinic
Size of the total moment (Bohr magnetons per cell): 1.005


No. 5
VASP calculation (PBE) on a relaxed structure of ZrSiRh2.

Cell: 5.059 5.059 5.059 Å, 137.75 133.47 64.65°
Sites, in units of the cell vectors:
Rh (0.999, 0.999, 0.000)
Rh (0.739, 0.239, 0.500)
Si (0.510, 0.510, 0.000)
Zr (0.252, 0.752, 0.500)

Uncorrected formation energy (eV/atom): -0.724
Crystal system: orthorhombic
Size of the total moment (Bohr magnetons per cell): 0.000


No. 6
VASP calculation (PBE) on a relaxed structure of Sr2Al2Cu15.

Cell: 6.625 6.625 6.625 Å, 82.53 82.53 82.53°
Sites, in units of the cell vectors:
Sr (0.351, 0.351, 0.351)
Sr (0.649, 0.649, 0.649)
Al (0.102, 0.102, 0.102)
Al (0.898, 0.898, 0.898)
Cu (0.500, 0.000, 0.000)
Cu (0.000, 0.000, 0.500)
Cu (0.000, 0.500, 0.000)
Cu (0.000, 0.711, 0.289)
Cu (0.711, 0.289, 0.000)
Cu (0.289, 0.000, 0.711)
Cu (0.289, 0.711, 0.000)
Cu (0.711, 0.000, 0.289)
Cu (0.000, 0.289, 0.711)
Cu (0.148, 0.660, 0.660)
Cu (0.660, 0.660, 0.148)
Cu (0.660, 0.148, 0.660)
Cu (0.852, 0.340, 0.340)
Cu (0.340, 0.340, 0.852)
Cu (0.340, 0.852, 0.340)

E_form (meV/atom): -82.1
Crystal system: trigonal
Size of the total moment (Bohr magnetons per cell): 0.000